(1)
Pm3InCu2: optimized geometry, GGA-PBE.

Properties
Formation enthalpy at 0 K ... -0.26 eV per atom
Crystal system ... tetragonal

Lattice parameters (Å, degrees): 3.5795 3.5795 11.5366 90.00 90.00 90.00
Last column: nearest neighbours and their distance in Å.
Sites, in units of the cell vectors:
Pm (0.0000, 0.0000, 0.0000)  8 Cu 3.09
Pm (0.0000, 0.0000, 0.6900)  4 Cu 3.11, 4 In 3.35
Pm (0.0000, 0.0000, 0.3100)  4 Cu 3.11, 4 In 3.35
In (0.5000, 0.5000, 0.5000)  8 Pm 3.35, 4 In 3.58
Cu (0.5000, 0.5000, 0.8464)  8 Pm 3.09-3.11
Cu (0.5000, 0.5000, 0.1536)  8 Pm 3.09-3.11

***

(2)
Ca5TlPb6: optimized geometry, GGA-PBE.

Properties
Formation enthalpy at 0 K ... -0.44 eV per atom
Crystal system ... monoclinic

Lattice parameters (Å, degrees): 5.0263 9.2791 9.2791 109.36 105.66 105.66
Last column: nearest neighbours and their distance in Å.
Sites, in units of the cell vectors:
Pb (0.2554, 0.0851, 0.4260)  7 Ca 3.40-3.60, 4 Pb 3.48-3.60, 1 Tl 3.54
Pb (0.7446, 0.5740, 0.9149)  7 Ca 3.40-3.60, 4 Pb 3.48-3.60, 1 Tl 3.54
Pb (0.7630, 0.2627, 0.2627)  6 Ca 3.35-3.45, 2 Tl 3.54, 4 Pb 3.60
Pb (0.2370, 0.7373, 0.7373)  6 Ca 3.35-3.45, 2 Tl 3.54, 4 Pb 3.60
Pb (0.2554, 0.4260, 0.0851)  7 Ca 3.40-3.60, 4 Pb 3.48-3.60, 1 Tl 3.54
Pb (0.7446, 0.9149, 0.5740)  7 Ca 3.40-3.60, 4 Pb 3.48-3.60, 1 Tl 3.54
Ca (0.5000, 0.1480, 0.8520)  8 Pb 3.35-3.60, 2 Tl 3.37, 2 Ca 3.70
Ca (0.0000, 0.3275, 0.6725)  8 Pb 3.40-3.45, 4 Ca 3.62-3.70
Ca (0.5000, 0.5000, 0.5000)  8 Pb 3.37-3.47, 4 Ca 3.62
Ca (0.0000, 0.6725, 0.3275)  8 Pb 3.40-3.45, 4 Ca 3.62-3.70
Ca (0.5000, 0.8520, 0.1480)  8 Pb 3.35-3.60, 2 Tl 3.37, 2 Ca 3.70
Tl (0.0000, 0.0000, 0.0000)  4 Ca 3.37, 8 Pb 3.54

***

(3)
Ca3ZrI: optimized geometry, GGA-PBE.

Properties
Energy above the most stable polymorph in this dataset ... 0.1992 eV/atom
E_form (uncorrected) ... 2.90 eV/f.u.
Crystal system ... cubic

Lattice parameters (Å, degrees): 6.2010 6.2010 6.2010 90.00 90.00 90.00
Last column: nearest neighbours and their distance in Å.
Sites, in units of the cell vectors:
I (0.5000, 0.5000, 0.5000)  12 Ca 4.38
Ca (0.0000, 0.5000, 0.0000)  2 Zr 3.10
Ca (0.0000, 0.0000, 0.5000)  2 Zr 3.10
Ca (0.5000, 0.0000, 0.0000)  2 Zr 3.10
Zr (0.0000, 0.0000, 0.0000)  6 Ca 3.10

***

(4)
NdDy6Ho3Th2: optimized geometry, GGA-PBE.

Properties
Formation enthalpy at 0 K ... 0.03 eV per atom
Crystal system ... monoclinic

Lattice parameters (Å, degrees): 6.1715 6.1715 11.7501 95.03 95.03 119.95
Last column: nearest neighbours and their distance in Å.
Sites, in units of the cell vectors:
Nd (0.0000, 0.0000, 0.0000)  6 Dy 3.56, 6 Th 3.56-3.57
Dy (0.9161, 0.5782, 0.7506)  2 Th 3.53-3.54, 6 Dy 3.54-3.61, 3 Ho 3.54-3.57, 1 Nd 3.56
Dy (0.7458, 0.7458, 0.2496)  2 Th 3.54, 6 Dy 3.54-3.61, 3 Ho 3.54-3.56, 1 Nd 3.56
Dy (0.0839, 0.4218, 0.2494)  2 Th 3.53-3.54, 6 Dy 3.54-3.61, 3 Ho 3.54-3.57, 1 Nd 3.56
Dy (0.5782, 0.9161, 0.7506)  2 Th 3.53-3.54, 6 Dy 3.54-3.61, 3 Ho 3.54-3.57, 1 Nd 3.56
Dy (0.2542, 0.2542, 0.7504)  2 Th 3.54, 6 Dy 3.54-3.61, 3 Ho 3.54-3.56, 1 Nd 3.56
Dy (0.4218, 0.0839, 0.2494)  2 Th 3.53-3.54, 6 Dy 3.54-3.61, 3 Ho 3.54-3.57, 1 Nd 3.56
Ho (0.1664, 0.8336, 0.5000)  6 Dy 3.54-3.57, 6 Ho 3.56-3.57
Ho (0.8336, 0.1664, 0.5000)  6 Dy 3.54-3.57, 6 Ho 3.56-3.57
Ho (0.5000, 0.5000, 0.5000)  6 Dy 3.54-3.56, 6 Ho 3.56-3.57
Th (0.3333, 0.6667, 0.0000)  6 Dy 3.53-3.54, 3 Nd 3.56-3.57, 3 Th 3.56
Th (0.6667, 0.3333, 0.0000)  6 Dy 3.53-3.54, 3 Nd 3.56-3.57, 3 Th 3.56

***

(5)
CsSn2Rh: optimized geometry, GGA-PBE.

Properties
Formation enthalpy at 0 K ... 0.47 eV per atom
Crystal system ... cubic

Lattice parameters (Å, degrees): 5.2791 5.2791 5.2791 60.00 60.00 60.00
Last column: nearest neighbours and their distance in Å.
Sites, in units of the cell vectors:
Cs (0.5000, 0.5000, 0.5000)  8 Sn 3.23
Rh (0.0000, 0.0000, 0.0000)  8 Sn 3.23
Sn (0.2500, 0.2500, 0.2500)  4 Rh 3.23, 4 Cs 3.23
Sn (0.7500, 0.7500, 0.7500)  4 Cs 3.23, 4 Rh 3.23

***

(6)
Dy3Si3Rh2: optimized geometry, GGA-PBE.

Properties
Energy above the most stable polymorph in this dataset ... 0.0379 eV/atom
E_form (uncorrected) ... -7.67 eV/f.u.
Crystal system ... orthorhombic

Lattice parameters (Å, degrees): 5.6727 7.9405 13.9531 90.00 90.00 90.00
Last column: nearest neighbours and their distance in Å.
Sites, in units of the cell vectors:
Dy (0.1232, 0.4565, 0.3867)  7 Si 2.96-3.28, 4 Rh 2.96-3.25
Dy (0.6232, 0.0435, 0.6133)  7 Si 2.96-3.28, 4 Rh 2.96-3.25
Dy (0.8768, 0.5435, 0.8867)  7 Si 2.96-3.28, 4 Rh 2.96-3.25
Dy (0.3768, 0.9565, 0.1133)  7 Si 2.96-3.28, 4 Rh 2.96-3.25
Dy (0.8768, 0.5435, 0.6133)  7 Si 2.96-3.28, 4 Rh 2.96-3.25
Dy (0.3768, 0.9565, 0.3867)  7 Si 2.96-3.28, 4 Rh 2.96-3.25
Dy (0.1232, 0.4565, 0.1133)  7 Si 2.96-3.28, 4 Rh 2.96-3.25
Dy (0.6232, 0.0435, 0.8867)  7 Si 2.96-3.28, 4 Rh 2.96-3.25
Dy (0.6278, 0.3075, 0.2500)  5 Si 2.92-3.22, 4 Rh 3.13-3.20
Dy (0.1278, 0.1925, 0.7500)  5 Si 2.92-3.22, 4 Rh 3.13-3.20
Dy (0.3722, 0.6925, 0.7500)  5 Si 2.92-3.22, 4 Rh 3.13-3.20
Dy (0.8722, 0.8075, 0.2500)  5 Si 2.92-3.22, 4 Rh 3.13-3.20
Si (0.0989, 0.1602, 0.2500)  2 Rh 2.58
Si (0.5989, 0.3398, 0.7500)  2 Rh 2.58
Si (0.9011, 0.8398, 0.7500)  2 Rh 2.58
Si (0.4011, 0.6602, 0.2500)  2 Rh 2.58
Si (0.6285, 0.3014, 0.4599)  3 Rh 2.37-2.45
Si (0.1285, 0.1986, 0.5401)  3 Rh 2.37-2.45
Si (0.3715, 0.6986, 0.9599)  3 Rh 2.37-2.45
Si (0.8715, 0.8014, 0.0401)  3 Rh 2.37-2.45
Si (0.3715, 0.6986, 0.5401)  3 Rh 2.37-2.45
Si (0.8715, 0.8014, 0.4599)  3 Rh 2.37-2.45
Si (0.6285, 0.3014, 0.0401)  3 Rh 2.37-2.45
Si (0.1285, 0.1986, 0.9599)  3 Rh 2.37-2.45
Rh (0.8902, 0.0851, 0.4087)  4 Si 2.37-2.58
Rh (0.3902, 0.4149, 0.5913)  4 Si 2.37-2.58
Rh (0.1098, 0.9149, 0.9087)  4 Si 2.37-2.58
Rh (0.6098, 0.5851, 0.0913)  4 Si 2.37-2.58
Rh (0.1098, 0.9149, 0.5913)  4 Si 2.37-2.58
Rh (0.6098, 0.5851, 0.4087)  4 Si 2.37-2.58
Rh (0.8902, 0.0851, 0.0913)  4 Si 2.37-2.58
Rh (0.3902, 0.4149, 0.9087)  4 Si 2.37-2.58

***

(7)
Li2ScTa: optimized geometry, GGA-PBE.

Properties
Energy above the most stable polymorph in this dataset ... 0.2096 eV/atom
Formation enthalpy at 0 K ... 0.39 eV per atom
Crystal system ... orthorhombic

Lattice parameters (Å, degrees): 2.7932 4.4640 6.0953 90.00 90.00 90.00
Last column: nearest neighbours and their distance in Å.
Sites, in units of the cell vectors:
Li (0.0000, 0.0000, 0.9954)  6 Li 2.79-3.03, 1 Sc 2.93, 4 Ta 3.03
Li (0.5000, 0.5000, 0.2398)  6 Li 2.79-3.03, 2 Ta 2.99-3.11, 4 Sc 3.12
Sc (0.0000, 0.0000, 0.5149)  2 Sc 2.79, 5 Li 2.93-3.12, 4 Ta 3.00
Ta (0.5000, 0.5000, 0.7499)  2 Ta 2.79, 6 Li 2.99-3.11, 4 Sc 3.00

***

(8)
YSc2Tl2: optimized geometry, GGA-PBE.

Properties
Energy above the most stable polymorph in this dataset ... 0.0956 eV/atom
Formation enthalpy at 0 K ... -0.16 eV per atom
Crystal system ... tetragonal

Lattice parameters (Å, degrees): 4.4645 4.4645 7.3965 72.43 72.43 90.00
Last column: nearest neighbours and their distance in Å.
Sites, in units of the cell vectors:
Y (0.0000, 0.0000, 0.0000)  8 Tl 3.46
Sc (0.7500, 0.2500, 0.5000)  4 Tl 2.95, 4 Sc 3.16
Sc (0.2500, 0.7500, 0.5000)  4 Tl 2.95, 4 Sc 3.16
Tl (0.3946, 0.3946, 0.2108)  1 Tl 2.82, 4 Sc 2.95
Tl (0.6054, 0.6054, 0.7892)  1 Tl 2.82, 4 Sc 2.95

***

(9)
LiCeTh2Se5: optimized geometry, GGA-PBE.

Properties
E_form (uncorrected) ... -14.15 eV/f.u.
Crystal system ... orthorhombic

Lattice parameters (Å, degrees): 4.0876 8.9138 12.6511 90.00 90.00 103.25
Last column: nearest neighbours and their distance in Å.
Sites, in units of the cell vectors:
Li (0.5048, 0.0096, 0.9880)  4 Se 2.43-2.54
Li (0.4952, 0.9904, 0.4880)  4 Se 2.43-2.54
Ce (0.8106, 0.6212, 0.4954)  6 Se 2.86-2.94
Ce (0.1894, 0.3787, 0.9954)  6 Se 2.86-2.94
Th (0.8758, 0.7515, 0.7969)  8 Se 3.00-3.27
Th (0.1171, 0.2342, 0.6805)  8 Se 2.95-3.16
Th (0.1242, 0.2485, 0.2969)  8 Se 3.00-3.27
Th (0.8829, 0.7658, 0.1805)  8 Se 2.95-3.16
Se (0.3589, 0.7177, 0.9977)  1 Li 2.54
Se (0.6958, 0.3916, 0.8294)  2 Ce 2.93, 3 Th 3.10-3.15
Se (0.5051, 0.0103, 0.7934)  1 Li 2.46
Se (0.2966, 0.5933, 0.6611)  2 Ce 2.94, 3 Th 3.00-3.13
Se (0.9629, 0.9258, 0.5816)  2 Li 2.43
Se (0.6411, 0.2823, 0.4977)  1 Li 2.54
Se (0.3042, 0.6084, 0.3294)  2 Ce 2.93, 3 Th 3.10-3.15
Se (0.4949, 0.9897, 0.2934)  1 Li 2.46
Se (0.7034, 0.4067, 0.1611)  2 Ce 2.94, 3 Th 3.00-3.13
Se (0.0371, 0.0742, 0.0816)  2 Li 2.43

***

(10)
Pd7Pt2Au: optimized geometry, GGA-PBE.

Properties
Formation enthalpy at 0 K ... 0.50 eV per atom
Crystal system ... orthorhombic

Lattice parameters (Å, degrees): 4.2887 7.4456 7.4456 121.66 90.00 90.00
Last column: nearest neighbours and their distance in Å.
Sites, in units of the cell vectors:
Pd (0.0000, 0.7965, 0.2035)  2 Pt 2.51, 1 Au 2.65, 4 Pd 2.80
Pd (0.0000, 0.2035, 0.7965)  2 Pt 2.51, 1 Au 2.65, 4 Pd 2.80
Pd (0.5000, 0.0738, 0.2922)  2 Pt 2.57-2.85, 5 Pd 2.66-2.84
Pd (0.5000, 0.9262, 0.7078)  2 Pt 2.57-2.85, 5 Pd 2.66-2.84
Pd (0.5000, 0.2922, 0.0738)  2 Pt 2.57-2.85, 5 Pd 2.66-2.84
Pd (0.5000, 0.7078, 0.9262)  2 Pt 2.57-2.85, 5 Pd 2.66-2.84
Pd (0.5000, 0.5000, 0.5000)  2 Pt 2.56, 4 Pd 2.70
Pt (0.5000, 0.6968, 0.3032)  5 Pd 2.51-2.57
Pt (0.5000, 0.3032, 0.6968)  5 Pd 2.51-2.57
Au (0.0000, 0.0000, 0.0000)  10 Pd 2.65-2.89

***

(11)
YTmZnSn: optimized geometry, GGA-PBE.

Properties
Formation enthalpy at 0 K ... -0.49 eV per atom
Crystal system ... cubic

Lattice parameters (Å, degrees): 5.1566 5.1566 5.1566 60.00 60.00 60.00
Last column: nearest neighbours and their distance in Å.
Sites, in units of the cell vectors:
Y (0.2500, 0.2500, 0.2500)  4 Sn 3.16, 4 Zn 3.16
Zn (0.0000, 0.0000, 0.0000)  4 Tm 3.16, 4 Y 3.16
Tm (0.7500, 0.7500, 0.7500)  4 Zn 3.16, 4 Sn 3.16
Sn (0.5000, 0.5000, 0.5000)  4 Y 3.16, 4 Tm 3.16

***

(12)
ZnN2ClF: optimized geometry, GGA-PBE.

Properties
Energy above the most stable polymorph in this dataset ... 0.0000 eV/atom
E_form (uncorrected) ... 5.97 eV/f.u.
Crystal system ... tetragonal

Lattice parameters (Å, degrees): 4.1791 4.1791 3.9195 90.00 90.00 90.00
Last column: nearest neighbours and their distance in Å.
Sites, in units of the cell vectors:
N (0.0000, 0.5000, 0.0000)  2 Zn 2.09
N (0.5000, 0.0000, 0.0000)  2 Zn 2.09
Zn (0.0000, 0.0000, 0.0000)  2 F 1.96, 4 N 2.09
F (0.0000, 0.0000, 0.5000)  2 Zn 1.96
Cl (0.5000, 0.5000, 0.5000)  8 N 2.86, 4 F 2.96

***

Calculated magnetic moment in order - 0.0; 0.0; 4.9; 0.0; 0.0; 0.0; 0.0; 0.3; 1.5; 0.0; 0.0; 3.4 μB/f.u.